(1)
Tb3Dy2Er2 | PBE | relaxed

* Fermi-level density of states: 1.26 states/eV/atom
* crystal system: triclinic
* symmetry: P-1 (2)
* offset from the most stable computed form: 0 meV per atom
* uncorrected energy: -32.10 eV/cell

a = 3.5271 Å, b = 6.1107 Å, c = 10.6172 Å
α = 95.65°, β = 90.02°, γ = 106.70°
Closest atoms and distances in Å follow each position.
Atoms (fractional coordinates):
Tb1 0.0000 0.0000 0.0000  6 Dy 3.53-3.54, 2 Tb 3.53, 4 Er 3.53
Tb2 0.1429 0.2854 0.5712  5 Tb 3.52-3.54, 5 Er 3.53-3.54, 2 Dy 3.54
Tb3 0.8571 0.7146 0.4288  5 Tb 3.52-3.54, 5 Er 3.53-3.54, 2 Dy 3.54
Dy1 0.2854 0.5713 0.1427  5 Tb 3.53-3.54, 4 Dy 3.53, 3 Er 3.53
Dy2 0.7146 0.4287 0.8573  5 Tb 3.53-3.54, 4 Dy 3.53, 3 Er 3.53
Er1 0.4283 0.8569 0.7144  2 Er 3.53, 7 Tb 3.53-3.54, 3 Dy 3.53
Er2 0.5717 0.1431 0.2856  2 Er 3.53, 7 Tb 3.53-3.54, 3 Dy 3.53

(2)
Ac5Al3Pd12 | PBE | relaxed

* Fermi-level density of states: 0.56 states/eV/atom
* crystal system: cubic
* symmetry: Ia-3d (230)
* uncorrected energy: -406.54 eV/cell

a = 13.8133 Å, b = 13.8133 Å, c = 13.8133 Å
α = 109.47°, β = 109.47°, γ = 109.47°
Closest atoms and distances in Å follow each position.
Atoms (fractional coordinates):
Ac1 0.0000 0.0000 0.0000  6 Pd 2.84
Ac2 0.0000 0.0000 0.5000  6 Pd 2.84
Ac3 0.0000 0.5000 0.0000  6 Pd 2.84
Ac4 0.0000 0.5000 0.5000  6 Pd 2.84
Ac5 0.1250 0.7500 0.8750  4 Pd 2.93
Ac6 0.1250 0.8750 0.2500  4 Pd 2.93
Ac7 0.2500 0.1250 0.8750  4 Pd 2.93
Ac8 0.2500 0.6250 0.3750  4 Pd 2.93
Ac9 0.3750 0.2500 0.6250  4 Pd 2.93
Ac10 0.3750 0.6250 0.7500  4 Pd 2.93
Ac11 0.5000 0.0000 0.0000  6 Pd 2.84
Ac12 0.5000 0.0000 0.5000  6 Pd 2.84
Ac13 0.5000 0.5000 0.0000  6 Pd 2.84
Ac14 0.5000 0.5000 0.5000  6 Pd 2.84
Ac15 0.6250 0.3750 0.2500  4 Pd 2.93
Ac16 0.6250 0.7500 0.3750  4 Pd 2.93
Ac17 0.7500 0.3750 0.6250  4 Pd 2.93
Ac18 0.7500 0.8750 0.1250  4 Pd 2.93
Ac19 0.8750 0.1250 0.7500  4 Pd 2.93
Ac20 0.8750 0.2500 0.1250  4 Pd 2.93
Al1 0.1250 0.2500 0.3750  4 Pd 2.42
Al2 0.1250 0.3750 0.7500  4 Pd 2.42
Al3 0.2500 0.3750 0.1250  4 Pd 2.42
Al4 0.2500 0.8750 0.6250  4 Pd 2.42
Al5 0.3750 0.1250 0.2500  4 Pd 2.42
Al6 0.3750 0.7500 0.1250  4 Pd 2.42
Al7 0.6250 0.2500 0.8750  4 Pd 2.42
Al8 0.6250 0.8750 0.7500  4 Pd 2.42
Al9 0.7500 0.1250 0.3750  4 Pd 2.42
Al10 0.7500 0.6250 0.8750  4 Pd 2.42
Al11 0.8750 0.6250 0.2500  4 Pd 2.42
Al12 0.8750 0.7500 0.6250  4 Pd 2.42
Pd1 0.0470 0.6367 0.3899  1 Al 2.42, 1 Pd 2.68
Pd2 0.0470 0.9103 0.6571  1 Al 2.42, 1 Pd 2.68
Pd3 0.0897 0.2468 0.1367  1 Al 2.42, 1 Pd 2.68
Pd4 0.0897 0.3429 0.9530  1 Al 2.42, 1 Pd 2.68
Pd5 0.1101 0.7468 0.6571  1 Al 2.42, 1 Pd 2.68
Pd6 0.1101 0.8633 0.4530  1 Al 2.42, 1 Pd 2.68
Pd7 0.1367 0.0897 0.2468  1 Al 2.42, 1 Pd 2.68
Pd8 0.1367 0.5470 0.8899  1 Al 2.42, 1 Pd 2.68
Pd9 0.1571 0.2468 0.6101  1 Al 2.42, 1 Pd 2.68
Pd10 0.1571 0.4103 0.5470  1 Al 2.42, 1 Pd 2.68
Pd11 0.2468 0.1367 0.0897  1 Al 2.42, 1 Pd 2.68
Pd12 0.2468 0.6101 0.1571  1 Al 2.42, 1 Pd 2.68
Pd13 0.2532 0.3429 0.8899  1 Al 2.42, 1 Pd 2.68
Pd14 0.2532 0.4103 0.3633  1 Al 2.42, 1 Pd 2.68
Pd15 0.3429 0.8899 0.2532  1 Al 2.42, 1 Pd 2.68
Pd16 0.3429 0.9530 0.0897  1 Al 2.42, 1 Pd 2.68
Pd17 0.3633 0.2532 0.4103  1 Al 2.42, 1 Pd 2.68
Pd18 0.3633 0.6101 0.9530  1 Al 2.42, 1 Pd 2.68
Pd19 0.3899 0.0470 0.6367  1 Al 2.42, 1 Pd 2.68
Pd20 0.3899 0.8429 0.7532  1 Al 2.42, 1 Pd 2.68
Pd21 0.4103 0.3633 0.2532  1 Al 2.42, 1 Pd 2.68
Pd22 0.4103 0.5470 0.1571  1 Al 2.42, 1 Pd 2.68
Pd23 0.4530 0.1101 0.8633  1 Al 2.42, 1 Pd 2.68
Pd24 0.4530 0.8429 0.5897  1 Al 2.42, 1 Pd 2.68
Pd25 0.5470 0.1571 0.4103  1 Al 2.42, 1 Pd 2.68
Pd26 0.5470 0.8899 0.1367  1 Al 2.42, 1 Pd 2.68
Pd27 0.5897 0.4530 0.8429  1 Al 2.42, 1 Pd 2.68
Pd28 0.5897 0.6367 0.7468  1 Al 2.42, 1 Pd 2.68
Pd29 0.6101 0.1571 0.2468  1 Al 2.42, 1 Pd 2.68
Pd30 0.6101 0.9530 0.3633  1 Al 2.42, 1 Pd 2.68
Pd31 0.6367 0.3899 0.0470  1 Al 2.42, 1 Pd 2.68
Pd32 0.6367 0.7468 0.5897  1 Al 2.42, 1 Pd 2.68
Pd33 0.6571 0.0470 0.9103  1 Al 2.42, 1 Pd 2.68
Pd34 0.6571 0.1101 0.7468  1 Al 2.42, 1 Pd 2.68
Pd35 0.7468 0.5897 0.6367  1 Al 2.42, 1 Pd 2.68
Pd36 0.7468 0.6571 0.1101  1 Al 2.42, 1 Pd 2.68
Pd37 0.7532 0.3899 0.8429  1 Al 2.42, 1 Pd 2.68
Pd38 0.7532 0.8633 0.9103  1 Al 2.42, 1 Pd 2.68
Pd39 0.8429 0.5897 0.4530  1 Al 2.42, 1 Pd 2.68
Pd40 0.8429 0.7532 0.3899  1 Al 2.42, 1 Pd 2.68
Pd41 0.8633 0.4530 0.1101  1 Al 2.42, 1 Pd 2.68
Pd42 0.8633 0.9103 0.7532  1 Al 2.42, 1 Pd 2.68
Pd43 0.8899 0.1367 0.5470  1 Al 2.42, 1 Pd 2.68
Pd44 0.8899 0.2532 0.3429  1 Al 2.42, 1 Pd 2.68
Pd45 0.9103 0.6571 0.0470  1 Al 2.42, 1 Pd 2.68
Pd46 0.9103 0.7532 0.8633  1 Al 2.42, 1 Pd 2.68
Pd47 0.9530 0.0897 0.3429  1 Al 2.42, 1 Pd 2.68
Pd48 0.9530 0.3633 0.6101  1 Al 2.42, 1 Pd 2.68

(3)
KSb2Rh4 | PBE | relaxed

* Fermi-level density of states: 1.14 states/eV/atom
* formation energy without anion corrections: 1.0821 eV/atom
* crystal system: tetragonal
* symmetry: I4/mmm (139)
* uncorrected energy: -31.17 eV/cell

a = 7.5917 Å, b = 7.5917 Å, c = 7.5917 Å
α = 143.35°, β = 143.35°, γ = 52.79°
Closest atoms and distances in Å follow each position.
Atoms (fractional coordinates):
K1 0.0000 0.0000 0.0000  4 Rh 2.39
Sb1 0.3846 0.3846 0.0000  1 Rh 2.44
Sb2 0.6154 0.6154 0.0000  1 Rh 2.44
Rh1 0.0000 0.5000 0.5000  2 K 2.39
Rh2 0.2049 0.2049 0.0000  1 Sb 2.44
Rh3 0.5000 0.0000 0.5000  2 K 2.39
Rh4 0.7951 0.7951 0.0000  1 Sb 2.44